CaTiCoO2 (PBE+U, optimized geometry); symmetry = P4/mmm, No. 123; uncorrected energy = -4.568 eV per atom
1.0
4.214 0.000 0.000
0.000 4.293 0.000
0.000 0.000 4.214
Ca Co O Ti
1 1 2 1
direct
0.000 0.000 0.000
0.000 0.500 0.000
0.000 0.000 0.500
0.500 0.000 0.000
0.500 0.500 0.500